# 1
K3NaV2Cl9 (PBE-GGA, optimized geometry); N(E_F) = 12.82 states/eV/f.u.
1.0
7.126 0.000 0.000
-3.563 6.171 0.000
0.000 0.000 8.820
K Cl V Na
3 9 2 1
Direct
0.333 0.667 0.655
0.000 0.000 0.000
0.667 0.333 0.345
0.000 0.500 0.000
0.825 0.175 0.684
0.650 0.825 0.316
0.500 0.500 0.000
0.500 0.000 0.000
0.175 0.350 0.316
0.350 0.175 0.684
0.825 0.650 0.684
0.175 0.825 0.316
0.333 0.667 0.161
0.667 0.333 0.839
0.000 0.000 0.500


# 2
First-principles (PBE-GGA) data for a geometry-optimized KNaV2Cl8 structure, as listed in the Alexandria database.

Structure (POSCAR):
```
KNaV2Cl8
1.0
6.634 0.000 0.000
3.317 5.745 0.000
3.317 1.915 9.394
Na V Cl K
1 2 8 1
Direct
0.000 0.000 0.000
0.250 0.250 0.251
0.750 0.750 0.749
0.413 0.710 0.817
0.829 0.829 0.512
0.940 0.587 0.183
0.060 0.413 0.817
0.171 0.171 0.488
0.710 0.060 0.817
0.290 0.940 0.183
0.587 0.290 0.183
0.500 0.500 0.500
```


# 3
KNaVCl6 (PBE-GGA, optimized geometry); N(E_F) = 7.69 states/eV/f.u.
1.0
6.849 0.001 0.000
3.425 5.930 0.000
0.001 -0.001 6.602
Cl Na V K
6 1 1 1
Direct
0.052 0.343 0.295
0.606 0.051 0.295
0.343 0.052 0.705
0.605 0.344 0.705
0.051 0.606 0.705
0.344 0.605 0.294
0.667 0.667 0.500
0.333 0.333 0.500
0.000 0.000 0.000


# 4
KNa2WCl8 (PBE-GGA, optimized geometry); N(E_F) = 7.01 states/eV/f.u.
1.0
-5.955 2.397 1.660
-2.654 -1.274 -5.640
-3.740 -7.939 2.383
Cl Na W K
8 2 1 1
Direct
0.822 0.198 0.182
0.722 0.791 0.012
0.863 0.237 0.813
0.137 0.763 0.187
0.328 0.301 0.457
0.278 0.209 0.988
0.672 0.699 0.543
0.178 0.802 0.818
0.550 0.590 0.299
0.450 0.410 0.701
0.000 0.000 0.000
0.000 0.000 0.500


# 5
KNaY2Cl8 (PBE-GGA, optimized geometry); N(E_F) = 0.00 states/eV/f.u.
1.0
6.841 0.197 -0.005
0.297 6.725 -0.009
0.006 0.010 8.310
Cl K Y Na
8 1 2 1
Direct
0.208 0.768 0.231
0.341 0.314 0.500
0.332 0.309 0.000
0.792 0.232 0.769
0.208 0.768 0.769
0.659 0.686 0.500
0.792 0.232 0.231
0.668 0.691 0.000
0.000 0.000 0.500
0.500 0.500 0.754
0.500 0.500 0.246
0.000 0.000 0.000


# 6
KNa2YCl6 (PBE-GGA, optimized geometry); N(E_F) = 0.00 states/eV/f.u.
1.0
-1.185 3.878 -5.955
-3.878 -2.783 -5.396
-7.140 2.793 -1.116
Cl Na K Y
6 2 1 1
Direct
0.944 0.579 0.236
0.373 0.713 0.765
0.149 0.372 0.765
0.241 0.944 0.236
0.579 0.241 0.236
0.713 0.150 0.765
0.521 0.521 0.436
0.008 0.008 0.974
0.808 0.808 0.575
0.324 0.324 0.028


# 7
KNaZnCl4 (PBE-GGA, optimized geometry); N(E_F) = 0.00 states/eV/f.u.
1.0
-4.283 -1.443 5.165
-1.702 -6.187 -3.140
7.547 -3.140 2.094
Zn Cl Na K
2 8 2 2
Direct
0.757 0.250 0.675
0.243 0.750 0.325
0.985 0.496 0.726
0.455 0.750 0.586
0.545 0.250 0.414
0.563 0.250 0.853
0.015 0.504 0.274
0.985 0.004 0.726
0.015 0.996 0.274
0.437 0.750 0.147
0.214 0.250 0.551
0.786 0.750 0.449
0.248 0.250 0.058
0.752 0.750 0.942


# 8
KNaZnCl2 (PBE-GGA, optimized geometry); N(E_F) = 0.00 states/eV/f.u.
1.0
-4.710 -1.143 3.065
1.560 -5.877 0.207
2.922 0.946 4.842
Cl Na Zn K
2 1 1 1
Direct
0.000 0.000 0.500
0.500 0.000 0.000
0.000 0.500 0.000
0.500 0.500 0.500
0.000 0.000 0.000


# 9
K2NaZrCl6 (PBE-GGA, optimized geometry); N(E_F) = 4.97 states/eV/f.u.
1.0
-2.766 -6.049 -3.099
4.252 -4.228 -4.230
4.005 -10.421 8.078
Cl Na K Zr
12 2 4 2
Direct
0.372 0.372 0.388
0.133 0.628 0.612
0.798 0.798 0.112
0.372 0.867 0.388
0.867 0.372 0.388
0.709 0.202 0.888
0.628 0.628 0.612
0.628 0.133 0.612
0.291 0.798 0.112
0.202 0.202 0.888
0.202 0.709 0.888
0.798 0.291 0.112
0.414 0.414 0.757
0.586 0.586 0.243
0.140 0.140 0.581
0.860 0.860 0.419
0.695 0.695 0.915
0.305 0.305 0.085
0.500 0.500 0.500
0.000 0.000 0.000


# 10
KNbCl3 (PBE-GGA, optimized geometry); N(E_F) = 5.47 states/eV/f.u.
1.0
5.467 0.000 0.000
0.000 5.467 0.000
0.000 0.000 5.467
Cl Nb K
3 1 1
Direct
0.000 0.000 0.500
0.500 0.000 0.000
0.000 0.500 0.000
0.500 0.500 0.500
0.000 0.000 0.000


# 11
First-principles (PBE-GGA) data for a geometry-optimized K3NbCl8 structure, as listed in the Alexandria database.

Structure (POSCAR):
```
K3NbCl8
1.0
-0.486 9.097 2.394
-9.469 -0.185 -1.219
3.756 -2.046 8.537
Cl Nb K
16 2 6
Direct
0.668 0.333 0.667
0.301 0.215 0.430
0.010 0.098 0.549
0.301 0.570 0.785
0.974 0.000 0.000
0.510 0.549 0.098
0.474 0.000 0.000
0.168 0.667 0.333
0.801 0.430 0.215
0.510 0.549 0.451
0.010 0.451 0.902
0.510 0.902 0.451
0.801 0.785 0.215
0.301 0.215 0.785
0.801 0.785 0.570
0.010 0.451 0.549
0.151 0.333 0.667
0.651 0.667 0.333
0.683 0.154 0.846
0.683 0.693 0.846
0.183 0.846 0.154
0.183 0.307 0.154
0.183 0.846 0.693
0.683 0.154 0.307
```


# 12
KNbCl5 (PBE-GGA, optimized geometry); N(E_F) = 1.98 states/eV/f.u.
1.0
-2.892 -6.916 -1.754
2.772 1.788 6.956
-6.956 7.520 2.122
Cl K Nb
10 2 2
Direct
0.247 0.035 0.907
0.628 0.340 0.593
0.296 0.046 0.250
0.849 0.165 0.465
0.200 0.384 0.035
0.753 0.965 0.093
0.151 0.835 0.535
0.372 0.660 0.407
0.704 0.954 0.750
0.800 0.616 0.965
0.254 0.504 0.750
0.746 0.496 0.250
0.500 0.000 0.500
0.000 0.000 0.000


Results for raw formation energy: -1574, -1394, -1453, -1276, -2140, -2044, -1581, -627, -1789, 148, -1570, -1412 (in meV per atom, following the order of the records).